A relaxed structure of CrNi2. Source: Alexandria via LeMat-Bulk, functional PBE.

Cell lengths 4.8200, 4.8200, 5.9757 Å; angles 104.51, 104.51, 29.57 degrees
Last column: nearest neighbours and their distance in Å.
Sites, in units of the cell vectors:
Cr (0.0000, 0.0000, 0.0000)  4 Cr 2.46-2.51, 8 Ni 2.49-2.51
Cr (0.6692, 0.6692, 0.3318)  4 Cr 2.46-2.51, 8 Ni 2.47-2.51
Ni (0.0587, 0.0587, 0.6129)  9 Ni 2.46-2.52, 3 Cr 2.51
Ni (0.3345, 0.3345, 0.6682)  8 Ni 2.46-2.52, 4 Cr 2.50-2.51
Ni (0.3936, 0.3936, 0.2823)  7 Ni 2.46-2.51, 5 Cr 2.49-2.51
Ni (0.7247, 0.7247, 0.9498)  8 Ni 2.46-2.52, 4 Cr 2.47-2.51

Space group: Cm, No. 8
Calculated formation energy: 0.2 eV per formula unit